Compound: Y2MoP2
Source: the Alexandria database
Functional: GGA-PBE
Structure: optimized geometry

Cell: 5.303 5.303 5.303 Å, 116.58 116.58 96.03°
Fractional positions:
Y: 0.750 0.250 0.500
Mo: 0.000 0.000 0.000
P: 0.670 0.670 0.000
P: 0.330 0.330 0.000
Y: 0.250 0.750 0.500

Summary:
* energy relative to the lowest polymorph listed for this composition: 675 meV per atom
* ΔH_f (0 K): -272.9 meV/atom
* D(E_F): 0.819 states/eV/atom
* VASP energy: -35.9 eV for the cell shown
* space-group type: I4/mmm, No. 139